Entry 1:
# Dy8C3Se3S | Alexandria | PBE | optimized geometry
# Formation energy without anion corrections (eV per atom): -1.2085
# Symmetry: R-3m, No. 166
# Crystal system: trigonal
data_Dy8C3Se3S
_chemical_formula_sum 'Dy8 C3 Se3 S1'
_cell_length_a 7.803
_cell_length_b 7.803
_cell_length_c 7.803
_cell_angle_alpha 58.15
_cell_angle_beta 58.15
_cell_angle_gamma 58.15
_symmetry_space_group_name_H-M 'P 1'
_symmetry_Int_Tables_number 1
loop_
_symmetry_equiv_pos_as_xyz
'x,y,z'
loop_
_atom_site_label
_atom_site_type_symbol
_atom_site_fract_x
_atom_site_fract_y
_atom_site_fract_z
Dy1 Dy 0.214 0.751 0.751
Dy2 Dy 0.235 0.235 0.235
Dy3 Dy 0.249 0.249 0.786
Dy4 Dy 0.249 0.786 0.249
Dy5 Dy 0.751 0.214 0.751
Dy6 Dy 0.751 0.751 0.214
Dy7 Dy 0.765 0.765 0.765
Dy8 Dy 0.786 0.249 0.249
C1 C 0.000 0.000 0.500
C2 C 0.000 0.500 0.000
C3 C 0.500 0.000 0.000
Se1 Se 0.000 0.500 0.500
Se2 Se 0.500 0.000 0.500
Se3 Se 0.500 0.500 0.000
S1 S 0.500 0.500 0.500

Entry 2:
# Zr6AlZn5 | Alexandria | PBE | optimized geometry
# Calculated total energy (hartree per atom): -0.199
# Symmetry: Immm, No. 71
# Crystal system: orthorhombic
data_Zr6AlZn5
_chemical_formula_sum 'Zr6 Al1 Zn5'
_cell_length_a 8.187
_cell_length_b 8.187
_cell_length_c 8.187
_cell_angle_alpha 146.56
_cell_angle_beta 131.05
_cell_angle_gamma 60.58
_symmetry_space_group_name_H-M 'P 1'
_symmetry_Int_Tables_number 1
loop_
_symmetry_equiv_pos_as_xyz
'x,y,z'
loop_
_atom_site_label
_atom_site_type_symbol
_atom_site_fract_x
_atom_site_fract_y
_atom_site_fract_z
Zr1 Zr 0.080 0.332 0.748
Zr2 Zr 0.246 0.000 0.246
Zr3 Zr 0.416 0.668 0.748
Zr4 Zr 0.584 0.332 0.252
Zr5 Zr 0.754 0.000 0.754
Zr6 Zr 0.920 0.668 0.252
Al1 Al 0.500 0.500 0.000
Zn1 Zn 0.000 0.500 0.500
Zn2 Zn 0.167 0.167 0.000
Zn3 Zn 0.334 0.834 0.500
Zn4 Zn 0.666 0.166 0.500
Zn5 Zn 0.833 0.833 0.000

Entry 3:
# MgAg | Alexandria | PBE | optimized geometry
# Calculated total energy (hartree per atom): -0.066
# Symmetry: F-43m, No. 216
# Crystal system: cubic
data_MgAg
_chemical_formula_sum 'Mg4 Ag4'
_cell_length_a 6.206
_cell_length_b 6.206
_cell_length_c 6.206
_cell_angle_alpha 90.00
_cell_angle_beta 90.00
_cell_angle_gamma 90.00
_symmetry_space_group_name_H-M 'P 1'
_symmetry_Int_Tables_number 1
loop_
_symmetry_equiv_pos_as_xyz
'x,y,z'
loop_
_atom_site_label
_atom_site_type_symbol
_atom_site_fract_x
_atom_site_fract_y
_atom_site_fract_z
Mg1 Mg 0.000 0.000 0.000
Mg2 Mg 0.000 0.500 0.500
Mg3 Mg 0.500 0.000 0.500
Mg4 Mg 0.500 0.500 0.000
Ag1 Ag 0.250 0.250 0.250
Ag2 Ag 0.250 0.750 0.750
Ag3 Ag 0.750 0.250 0.750
Ag4 Ag 0.750 0.750 0.250

Entry 4:
# HoTl2GaTe4 | Alexandria | PBE | optimized geometry
# Formation energy without anion corrections (eV per atom): -0.5695
# Symmetry: Imma, No. 74
# Crystal system: orthorhombic
data_HoTl2GaTe4
_chemical_formula_sum 'Ho2 Tl4 Ga2 Te8'
_cell_length_a 9.076
_cell_length_b 9.076
_cell_length_c 9.076
_cell_angle_alpha 121.25
_cell_angle_beta 120.47
_cell_angle_gamma 88.52
_symmetry_space_group_name_H-M 'P 1'
_symmetry_Int_Tables_number 1
loop_
_symmetry_equiv_pos_as_xyz
'x,y,z'
loop_
_atom_site_label
_atom_site_type_symbol
_atom_site_fract_x
_atom_site_fract_y
_atom_site_fract_z
Ho1 Ho 0.500 0.000 0.000
Ho2 Ho 0.500 0.500 0.500
Tl1 Tl 0.000 0.000 0.000
Tl2 Tl 0.000 0.000 0.500
Tl3 Tl 0.000 0.500 0.000
Tl4 Tl 0.500 0.000 0.500
Ga1 Ga 0.000 0.500 0.500
Ga2 Ga 0.500 0.500 0.000
Te1 Te 0.255 0.735 0.519
Te2 Te 0.260 0.290 0.529
Te3 Te 0.260 0.731 0.971
Te4 Te 0.284 0.265 0.019
Te5 Te 0.716 0.735 0.981
Te6 Te 0.740 0.269 0.029
Te7 Te 0.740 0.710 0.471
Te8 Te 0.745 0.265 0.481

Entry 5:
# Na3Al2Te4 | Alexandria | PBE | optimized geometry
# Formation energy without anion corrections (eV per atom): -0.6101
# Symmetry: C2/c, No. 15
# Crystal system: monoclinic
data_Na3Al2Te4
_chemical_formula_sum 'Na6 Al4 Te8'
_cell_length_a 8.952
_cell_length_b 8.952
_cell_length_c 7.361
_cell_angle_alpha 90.21
_cell_angle_beta 90.21
_cell_angle_gamma 77.94
_symmetry_space_group_name_H-M 'P 1'
_symmetry_Int_Tables_number 1
loop_
_symmetry_equiv_pos_as_xyz
'x,y,z'
loop_
_atom_site_label
_atom_site_type_symbol
_atom_site_fract_x
_atom_site_fract_y
_atom_site_fract_z
Na1 Na 0.107 0.893 0.750
Na2 Na 0.251 0.504 0.062
Na3 Na 0.496 0.749 0.438
Na4 Na 0.504 0.251 0.562
Na5 Na 0.749 0.496 0.938
Na6 Na 0.893 0.107 0.250
Al1 Al 0.078 0.329 0.584
Al2 Al 0.329 0.078 0.084
Al3 Al 0.671 0.922 0.916
Al4 Al 0.922 0.671 0.416
Te1 Te 0.072 0.241 0.932
Te2 Te 0.219 0.564 0.529
Te3 Te 0.241 0.072 0.432
Te4 Te 0.436 0.781 0.971
Te5 Te 0.564 0.219 0.029
Te6 Te 0.759 0.928 0.568
Te7 Te 0.781 0.436 0.471
Te8 Te 0.928 0.759 0.068

Entry 6:
# Sb2PtPb | Alexandria | PBE | optimized geometry
# Formation energy without anion corrections (eV per atom): 0.1758
# Symmetry: C2/m, No. 12
# Crystal system: monoclinic
data_Sb2PtPb
_chemical_formula_sum 'Sb4 Pt2 Pb2'
_cell_length_a 6.637
_cell_length_b 6.563
_cell_length_c 4.498
_cell_angle_alpha 90.00
_cell_angle_beta 90.43
_cell_angle_gamma 90.00
_symmetry_space_group_name_H-M 'P 1'
_symmetry_Int_Tables_number 1
loop_
_symmetry_equiv_pos_as_xyz
'x,y,z'
loop_
_atom_site_label
_atom_site_type_symbol
_atom_site_fract_x
_atom_site_fract_y
_atom_site_fract_z
Sb1 Sb 0.250 0.250 0.000
Sb2 Sb 0.250 0.750 0.000
Sb3 Sb 0.750 0.250 0.000
Sb4 Sb 0.750 0.750 0.000
Pt1 Pt 0.000 0.000 0.500
Pt2 Pt 0.500 0.500 0.500
Pb1 Pb 0.000 0.500 0.500
Pb2 Pb 0.500 0.000 0.500

Entry 7:
# Pr8HoEr4 | Alexandria | PBE | optimized geometry
# Calculated total energy (hartree per atom): -0.166
# Symmetry: R-3m, No. 166
# Crystal system: trigonal
data_Pr8HoEr4
_chemical_formula_sum 'Pr8 Ho1 Er4'
_cell_length_a 10.683
_cell_length_b 10.683
_cell_length_c 10.683
_cell_angle_alpha 39.79
_cell_angle_beta 39.79
_cell_angle_gamma 39.79
_symmetry_space_group_name_H-M 'P 1'
_symmetry_Int_Tables_number 1
loop_
_symmetry_equiv_pos_as_xyz
'x,y,z'
loop_
_atom_site_label
_atom_site_type_symbol
_atom_site_fract_x
_atom_site_fract_y
_atom_site_fract_z
Pr1 Pr 0.210 0.751 0.751
Pr2 Pr 0.212 0.212 0.212
Pr3 Pr 0.249 0.249 0.790
Pr4 Pr 0.249 0.790 0.249
Pr5 Pr 0.751 0.210 0.751
Pr6 Pr 0.751 0.751 0.210
Pr7 Pr 0.788 0.788 0.788
Pr8 Pr 0.790 0.249 0.249
Ho1 Ho 0.500 0.500 0.500
Er1 Er 0.000 0.000 0.000
Er2 Er 0.000 0.500 0.500
Er3 Er 0.500 0.000 0.500
Er4 Er 0.500 0.500 0.000

Entry 8:
# Ce8SbPd24 | Alexandria | PBE | optimized geometry
# Formation energy without anion corrections (eV per atom): -0.7863
# Symmetry: Pm-3m, No. 221
# Crystal system: cubic
data_Ce8SbPd24
_chemical_formula_sum 'Ce8 Sb1 Pd24'
_cell_length_a 8.486
_cell_length_b 8.486
_cell_length_c 8.486
_cell_angle_alpha 90.00
_cell_angle_beta 90.00
_cell_angle_gamma 90.00
_symmetry_space_group_name_H-M 'P 1'
_symmetry_Int_Tables_number 1
loop_
_symmetry_equiv_pos_as_xyz
'x,y,z'
loop_
_atom_site_label
_atom_site_type_symbol
_atom_site_fract_x
_atom_site_fract_y
_atom_site_fract_z
Ce1 Ce 0.247 0.247 0.247
Ce2 Ce 0.247 0.247 0.753
Ce3 Ce 0.247 0.753 0.247
Ce4 Ce 0.247 0.753 0.753
Ce5 Ce 0.753 0.247 0.247
Ce6 Ce 0.753 0.247 0.753
Ce7 Ce 0.753 0.753 0.247
Ce8 Ce 0.753 0.753 0.753
Sb1 Sb 0.000 0.000 0.000
Pd1 Pd 0.000 0.000 0.318
Pd2 Pd 0.000 0.000 0.682
Pd3 Pd 0.000 0.269 0.500
Pd4 Pd 0.000 0.318 0.000
Pd5 Pd 0.000 0.500 0.269
Pd6 Pd 0.000 0.500 0.731
Pd7 Pd 0.000 0.682 0.000
Pd8 Pd 0.000 0.731 0.500
Pd9 Pd 0.256 0.500 0.500
Pd10 Pd 0.269 0.000 0.500
Pd11 Pd 0.269 0.500 0.000
Pd12 Pd 0.318 0.000 0.000
Pd13 Pd 0.500 0.000 0.269
Pd14 Pd 0.500 0.000 0.731
Pd15 Pd 0.500 0.256 0.500
Pd16 Pd 0.500 0.269 0.000
Pd17 Pd 0.500 0.500 0.256
Pd18 Pd 0.500 0.500 0.744
Pd19 Pd 0.500 0.731 0.000
Pd20 Pd 0.500 0.744 0.500
Pd21 Pd 0.682 0.000 0.000
Pd22 Pd 0.731 0.000 0.500
Pd23 Pd 0.731 0.500 0.000
Pd24 Pd 0.744 0.500 0.500

Entry 9:
# Cu3BiF | Alexandria | PBE | optimized geometry
# Formation energy without anion corrections (eV per atom): 0.0070
# Symmetry: Pm-3m, No. 221
# Crystal system: cubic
data_Cu3BiF
_chemical_formula_sum 'Cu3 Bi1 F1'
_cell_length_a 4.319
_cell_length_b 4.319
_cell_length_c 4.319
_cell_angle_alpha 90.00
_cell_angle_beta 90.00
_cell_angle_gamma 90.00
_symmetry_space_group_name_H-M 'P 1'
_symmetry_Int_Tables_number 1
loop_
_symmetry_equiv_pos_as_xyz
'x,y,z'
loop_
_atom_site_label
_atom_site_type_symbol
_atom_site_fract_x
_atom_site_fract_y
_atom_site_fract_z
Cu1 Cu 0.000 0.000 0.500
Cu2 Cu 0.000 0.500 0.000
Cu3 Cu 0.500 0.000 0.000
Bi1 Bi 0.500 0.500 0.500
F1 F 0.000 0.000 0.000

Entry 10:
# GeBi3O | Alexandria | PBE | optimized geometry
# Formation energy without anion corrections (eV per atom): 0.0007
# Symmetry: Pm-3m, No. 221
# Crystal system: cubic
data_GeBi3O
_chemical_formula_sum 'Ge1 Bi3 O1'
_cell_length_a 4.977
_cell_length_b 4.977
_cell_length_c 4.977
_cell_angle_alpha 90.00
_cell_angle_beta 90.00
_cell_angle_gamma 90.00
_symmetry_space_group_name_H-M 'P 1'
_symmetry_Int_Tables_number 1
loop_
_symmetry_equiv_pos_as_xyz
'x,y,z'
loop_
_atom_site_label
_atom_site_type_symbol
_atom_site_fract_x
_atom_site_fract_y
_atom_site_fract_z
Ge1 Ge 0.000 0.000 0.000
Bi1 Bi 0.000 0.500 0.500
Bi2 Bi 0.500 0.000 0.500
Bi3 Bi 0.500 0.500 0.000
O1 O 0.500 0.500 0.500